Below is a crystal of Cs2TeO4 relaxed with PBEsol, with properties calculated at the SCAN level.

a = 6.6709 Å, b = 8.5064 Å, c = 11.5618 Å
α = 90.00°, β = 90.00°, γ = 90.00°
With the nearest neighbours (Å) after each atom.
Element x y z (fractional)
Cs: 0.2500 0.8297 0.0775  1 O 2.84
Cs: 0.7500 0.5044 0.2130  7 O 2.97-3.21
Cs: 0.2500 0.4956 0.7870  7 O 2.97-3.21
Cs: 0.7500 0.1703 0.9224  1 O 2.84
Cs: 0.7500 0.0044 0.2870  7 O 2.97-3.21
Cs: 0.7500 0.6703 0.5776  1 O 2.84
Cs: 0.2500 0.3297 0.4224  1 O 2.84
Cs: 0.2500 0.9956 0.7130  7 O 2.97-3.21
Te: 0.2500 0.7816 0.4184  4 O 1.84
Te: 0.2500 0.2816 0.0816  4 O 1.84
Te: 0.7500 0.2184 0.5816  4 O 1.84
Te: 0.7500 0.7184 0.9184  4 O 1.84
O: 0.2500 0.1813 0.9403  1 Te 1.84
O: 0.0248 0.7208 0.3381  1 Te 1.84
O: 0.7500 0.0038 0.5630  1 Te 1.84
O: 0.7500 0.5038 0.9370  1 Te 1.84
O: 0.9752 0.2792 0.6619  1 Te 1.84
O: 0.2500 0.6813 0.5597  1 Te 1.84
O: 0.7500 0.3187 0.4403  1 Te 1.84
O: 0.9752 0.7792 0.8381  1 Te 1.84
O: 0.5248 0.2792 0.6619  1 Te 1.84
O: 0.4752 0.7208 0.3381  1 Te 1.84
O: 0.4752 0.2208 0.1619  1 Te 1.84
O: 0.2500 0.9962 0.4370  1 Te 1.84
O: 0.0248 0.2208 0.1619  1 Te 1.84
O: 0.5248 0.7792 0.8381  1 Te 1.84
O: 0.7500 0.8187 0.0597  1 Te 1.84
O: 0.2500 0.4962 0.0630  1 Te 1.84

Its theoretical density is 4.63 g cm⁻³. As for the space-group type: No. 62. The density of states at the Fermi level is 0.00 states/eV per atom. As for the crystal system: orthorhombic.



Below is a crystal of CsTe2O6 relaxed with PBEsol, with properties calculated at the SCAN level.

a = 7.3923 Å, b = 7.3923 Å, c = 7.3923 Å
α = 60.00°, β = 60.00°, γ = 60.00°
With the nearest neighbours (Å) after each atom.
Element x y z (fractional)
Cs: 0.7500 0.7500 0.7500  6 O 3.20
Cs: 0.5000 0.5000 0.5000  6 O 3.20
O: 0.4437 0.4437 0.0563  2 Te 1.98
O: 0.0563 0.0563 0.4437  2 Te 1.98
O: 0.4437 0.0563 0.0563  2 Te 1.98
O: 0.0563 0.4437 0.4437  2 Te 1.98
O: 0.4437 0.0563 0.4437  2 Te 1.98
O: 0.0563 0.4437 0.0563  2 Te 1.98
O: 0.8063 0.8063 0.1937  2 Te 1.98
O: 0.1937 0.1937 0.8063  2 Te 1.98
O: 0.1937 0.8063 0.1937  2 Te 1.98
O: 0.8063 0.1937 0.8063  2 Te 1.98
O: 0.1937 0.8063 0.8063  2 Te 1.98
O: 0.8063 0.1937 0.1937  2 Te 1.98
Te: 0.6250 0.1250 0.1250  6 O 1.98
Te: 0.1250 0.6250 0.1250  6 O 1.98
Te: 0.1250 0.1250 0.6250  6 O 1.98
Te: 0.1250 0.1250 0.1250  6 O 1.98

Its theoretical density is 5.63 g cm⁻³. As for the space-group type: No. 227. The density of states at the Fermi level is 0.04 states/eV per atom. As for the crystal system: cubic.



Below is a crystal of CsV3Te2O12 relaxed with PBEsol, with properties calculated at the SCAN level.

a = 7.1380 Å, b = 7.1380 Å, c = 11.4744 Å
α = 90.00°, β = 90.00°, γ = 120.00°
With the nearest neighbours (Å) after each atom.
Element x y z (fractional)
Cs: 0.6667 0.3333 0.9947  9 O 3.05-3.36
Cs: 0.3333 0.6667 0.4947  9 O 3.05-3.36
V: 0.7931 0.1266 0.6654  3 O 1.67-1.85
V: 0.3335 0.2069 0.6654  3 O 1.67-1.85
V: 0.1266 0.3335 0.1654  3 O 1.67-1.85
V: 0.8734 0.6665 0.6654  3 O 1.67-1.85
V: 0.6665 0.7932 0.1654  3 O 1.67-1.85
V: 0.2068 0.8734 0.1654  3 O 1.67-1.85
Te: 0.3333 0.6667 0.9187  3 O 1.89
Te: 0.6667 0.3333 0.4187  3 O 1.89
Te: 0.0000 0.0000 0.9054  3 O 1.92
Te: 0.0000 0.0000 0.4054  3 O 1.92
O: 0.6031 0.8117 0.9963  1 Te 1.89, 1 V 2.01
O: 0.1203 0.8732 0.6339  1 V 1.68
O: 0.8763 0.1428 0.8199  1 V 1.85, 1 Te 1.92
O: 0.5424 0.0836 0.6826  1 V 1.67
O: 0.2666 0.1237 0.8199  1 V 1.85, 1 Te 1.92
O: 0.3969 0.1882 0.4963  1 Te 1.89, 1 V 2.01
O: 0.7913 0.6031 0.4963  1 Te 1.89, 1 V 2.01
O: 0.1883 0.7913 0.9963  1 Te 1.89, 1 V 2.01
O: 0.8118 0.2087 0.4963  1 Te 1.89, 1 V 2.01
O: 0.7529 0.8797 0.6339  1 V 1.68
O: 0.4576 0.9164 0.1826  1 V 1.67
O: 0.5412 0.4576 0.6826  1 V 1.67
O: 0.1268 0.2471 0.6339  1 V 1.68
O: 0.8732 0.7529 0.1339  1 V 1.68
O: 0.4588 0.5424 0.1826  1 V 1.67
O: 0.2471 0.1203 0.1339  1 V 1.68
O: 0.9164 0.4588 0.6826  1 V 1.67
O: 0.0836 0.5412 0.1826  1 V 1.67
O: 0.1237 0.8572 0.3199  1 V 1.85, 1 Te 1.92
O: 0.1428 0.2666 0.3199  1 V 1.85, 1 Te 1.92
O: 0.8572 0.7334 0.8199  1 V 1.85, 1 Te 1.92
O: 0.2087 0.3969 0.9963  1 Te 1.89, 1 V 2.01
O: 0.7334 0.8763 0.3199  1 V 1.85, 1 Te 1.92
O: 0.8797 0.1268 0.1339  1 V 1.68

Its theoretical density is 4.81 g cm⁻³. As for the space-group type: No. 173. The density of states at the Fermi level is 0.00 states/eV per atom. As for the crystal system: hexagonal.



no.,calculated volume (Å³ per cell),raw formation energy (eV/atom)
1,656.08,-1.549
2,285.64,-1.312
3,506.30,-2.063